Entry 1:
Material: NdY3Mg2
Method: DFT, PBE-GGA
State: optimized geometry

The calculation puts the total moment at 0.0004 μB/atom. As for the formation energy: -0.06 eV per atom. Its raw total energy is -4.620 eV/atom. As for the space group: No. 123.

a = 3.6990 Å, b = 3.6990 Å, c = 13.0234 Å
α = 90.00°, β = 90.00°, γ = 90.00°
With the nearest neighbours (Å) after each atom.
Element x y z (fractional)
Mg  0.5000  0.5000  0.8490  8 Y 3.27-3.30
Mg  0.5000  0.5000  0.1510  8 Y 3.27-3.30
Y  0.0000  0.0000  0.0000  8 Mg 3.27
Y  0.0000  0.0000  0.6942  4 Mg 3.30, 4 Nd 3.64
Nd  0.5000  0.5000  0.5000  8 Y 3.64, 4 Nd 3.70
Y  0.0000  0.0000  0.3058  4 Mg 3.30, 4 Nd 3.64

Entry 2:
Material: Li2Er3Ga4
Method: DFT, PBE-GGA
State: optimized geometry

The calculation puts the total moment at 0.0000 μB/atom. As for the formation energy: -0.48 eV per atom. Its raw total energy is -3.775 eV/atom. As for the space group: No. 12.

a = 4.5244 Å, b = 5.6631 Å, c = 8.6077 Å
α = 113.95°, β = 90.00°, γ = 113.54°
With the nearest neighbours (Å) after each atom.
Element x y z (fractional)
Er  0.0000  0.0000  0.0000  8 Ga 3.06-3.19, 4 Li 3.11, 2 Er 3.40
Er  0.6676  0.3352  0.6600  8 Ga 3.04-3.33, 4 Li 3.07-3.13, 2 Er 3.35-3.40
Ga  0.2626  0.5252  0.9232  1 Li 2.62, 2 Ga 2.69
Er  0.3324  0.6648  0.3400  8 Ga 3.04-3.33, 4 Li 3.07-3.13, 2 Er 3.35-3.40
Ga  0.9568  0.9136  0.6243  2 Li 2.60, 1 Ga 2.66
Ga  0.0432  0.0864  0.3757  2 Li 2.60, 1 Ga 2.66
Li  0.6076  0.2152  0.2773  3 Ga 2.60-2.62
Ga  0.7374  0.4748  0.0768  1 Li 2.62, 2 Ga 2.69
Li  0.3924  0.7848  0.7227  3 Ga 2.60-2.62

Entry 3:
Material: CuSbAu
Method: DFT, PBE-GGA
State: optimized geometry

Its energy relative to the lowest polymorph listed for this composition is 141 meV per atom. The calculation puts the total moment at 0.0000 μB/atom. Its raw total energy is -3.700 eV/atom. For the uncorrected formation energy, the calculation gives 0.1321 eV per atom. As for the space group: No. 107.

a = 6.2058 Å, b = 6.2049 Å, c = 3.1471 Å
α = 75.33°, β = 75.29°, γ = 29.38°
With the nearest neighbours (Å) after each atom.
Element x y z (fractional)
Cu  0.3426  0.3426  0.6574  4 Au 2.71, 4 Sb 2.90-2.91
Sb  0.6813  0.6813  0.3187  4 Cu 2.90-2.91, 4 Sb 3.15
Au  0.9761  0.9761  0.0239  4 Cu 2.71

Entry 4:
Material: RbYTl2N
Method: DFT, PBE-GGA
State: optimized geometry

The calculation puts the total moment at 0.0000 μB/atom. Its raw total energy is -3.886 eV/atom. For the uncorrected formation energy, the calculation gives 0.2123 eV per atom. As for the space group: No. 123.

a = 6.3389 Å, b = 4.3642 Å, c = 6.3389 Å
α = 90.00°, β = 90.00°, γ = 90.00°
With the nearest neighbours (Å) after each atom.
Element x y z (fractional)
Tl  0.0000  0.0000  0.5000  2 Y 3.17
Rb  0.5000  0.5000  0.5000  8 Tl 3.85
N  0.0000  0.5000  0.0000  2 Y 2.18
Y  0.0000  0.0000  0.0000  2 N 2.18
Tl  0.5000  0.0000  0.0000  2 Y 3.17

Entry 5:
Material: Tb2SbS
Method: DFT, PBE-GGA
State: optimized geometry

Its energy relative to the lowest polymorph listed for this composition is 61 meV per atom. The calculation puts the total moment at 0.0000 μB/atom. Its raw total energy is -5.850 eV/atom. For the uncorrected formation energy, the calculation gives -1.4728 eV per atom. As for the space group: No. 160.

a = 4.0996 Å, b = 4.0996 Å, c = 7.4971 Å
α = 74.13°, β = 74.13°, γ = 60.00°
With the nearest neighbours (Å) after each atom.
Element x y z (fractional)
Sb  0.4992  0.4992  0.5025  6 Tb 3.09
Tb  0.2589  0.2589  0.2233  3 S 2.88, 3 Sb 3.09
S  0.6692  0.6692  0.9924  6 Tb 2.80-2.88
Tb  0.0727  0.0727  0.7818  3 S 2.80, 3 Sb 3.09

Entry 6:
Material: Er3Zr5H12
Method: DFT, PBE-GGA
State: optimized geometry

The calculation puts the total moment at 0.0000 μB/atom. Its raw total energy is -5.309 eV/atom. As for the space group: No. 230.

a = 10.6496 Å, b = 10.6496 Å, c = 10.6496 Å
α = 109.47°, β = 109.47°, γ = 109.47°
With the nearest neighbours (Å) after each atom.
Element x y z (fractional)
Er  0.3750  0.6250  0.2500  8 H 2.19-2.28
H  0.2803  0.8553  0.9408  2 Zr 2.05, 2 Er 2.19-2.28
H  0.9250  0.8395  0.7803  2 Zr 2.05, 2 Er 2.19-2.28
H  0.9408  0.5855  0.1605  2 Zr 2.05, 2 Er 2.19-2.28
H  0.6447  0.0592  0.2197  2 Zr 2.05, 2 Er 2.19-2.28
H  0.3553  0.9408  0.7803  2 Zr 2.05, 2 Er 2.19-2.28
Er  0.1250  0.8750  0.7500  8 H 2.19-2.28
Er  0.8750  0.7500  0.1250  8 H 2.19-2.28
Zr  0.2500  0.3750  0.6250  4 H 2.05
H  0.7197  0.1447  0.0592  2 Zr 2.05, 2 Er 2.19-2.28
H  0.6605  0.2197  0.5750  2 Zr 2.05, 2 Er 2.19-2.28
H  0.3395  0.7803  0.4250  2 Zr 2.05, 2 Er 2.19-2.28
Zr  0.5000  0.5000  0.0000  6 H 2.05
H  0.4250  0.1447  0.5855  2 Zr 2.05, 2 Er 2.19-2.28
H  0.9145  0.0750  0.8553  2 Zr 2.05, 2 Er 2.19-2.28
H  0.5855  0.6447  0.4250  2 Zr 2.05, 2 Er 2.19-2.28
Zr  0.0000  0.5000  0.0000  6 H 2.05
H  0.4408  0.6605  0.0855  2 Zr 2.05, 2 Er 2.19-2.28
Zr  0.6250  0.8750  0.2500  4 H 2.05
Zr  0.1250  0.7500  0.3750  4 H 2.05
Zr  0.5000  0.5000  0.5000  6 H 2.05
Er  0.2500  0.1250  0.3750  8 H 2.19-2.28
Zr  0.3750  0.1250  0.7500  4 H 2.05
H  0.7197  0.5750  0.1605  2 Zr 2.05, 2 Er 2.19-2.28
H  0.5592  0.2197  0.1447  2 Zr 2.05, 2 Er 2.19-2.28
H  0.1447  0.4250  0.0855  2 Zr 2.05, 2 Er 2.19-2.28
H  0.2197  0.6605  0.0750  2 Zr 2.05, 2 Er 2.19-2.28
Zr  0.5000  0.0000  0.0000  6 H 2.05
Er  0.3750  0.7500  0.6250  8 H 2.19-2.28
Er  0.2500  0.6250  0.8750  8 H 2.19-2.28
Er  0.8750  0.1250  0.2500  8 H 2.19-2.28
H  0.8553  0.2803  0.4408  2 Zr 2.05, 2 Er 2.19-2.28
H  0.6605  0.4408  0.5855  2 Zr 2.05, 2 Er 2.19-2.28
H  0.0855  0.9250  0.1447  2 Zr 2.05, 2 Er 2.19-2.28
Zr  0.0000  0.0000  0.0000  6 H 2.05
Zr  0.7500  0.6250  0.3750  4 H 2.05
Er  0.1250  0.2500  0.8750  8 H 2.19-2.28
H  0.7803  0.4408  0.3553  2 Zr 2.05, 2 Er 2.19-2.28
Zr  0.0000  0.5000  0.5000  6 H 2.05
Zr  0.7500  0.1250  0.8750  4 H 2.05
Er  0.6250  0.3750  0.7500  8 H 2.19-2.28
Zr  0.3750  0.2500  0.1250  4 H 2.05
Er  0.6250  0.2500  0.3750  8 H 2.19-2.28
H  0.9408  0.3553  0.2803  2 Zr 2.05, 2 Er 2.19-2.28
H  0.8553  0.5750  0.9145  2 Zr 2.05, 2 Er 2.19-2.28
H  0.9145  0.8395  0.5592  2 Zr 2.05, 2 Er 2.19-2.28
H  0.3553  0.4145  0.0750  2 Zr 2.05, 2 Er 2.19-2.28
H  0.2197  0.5592  0.6447  2 Zr 2.05, 2 Er 2.19-2.28
H  0.1447  0.7197  0.5592  2 Zr 2.05, 2 Er 2.19-2.28
H  0.6447  0.5855  0.9250  2 Zr 2.05, 2 Er 2.19-2.28
H  0.0855  0.1605  0.4408  2 Zr 2.05, 2 Er 2.19-2.28
Zr  0.1250  0.3750  0.2500  4 H 2.05
H  0.1605  0.0750  0.7197  2 Zr 2.05, 2 Er 2.19-2.28
H  0.2803  0.4250  0.8395  2 Zr 2.05, 2 Er 2.19-2.28
H  0.5750  0.8553  0.4145  2 Zr 2.05, 2 Er 2.19-2.28
H  0.3395  0.5592  0.4145  2 Zr 2.05, 2 Er 2.19-2.28
Zr  0.6250  0.7500  0.8750  4 H 2.05
Er  0.7500  0.8750  0.6250  8 H 2.19-2.28
Zr  0.5000  0.0000  0.5000  6 H 2.05
Zr  0.2500  0.8750  0.1250  4 H 2.05
Zr  0.8750  0.6250  0.7500  4 H 2.05
H  0.4145  0.3553  0.5750  2 Zr 2.05, 2 Er 2.19-2.28
Zr  0.0000  0.0000  0.5000  6 H 2.05
H  0.8395  0.9250  0.2803  2 Zr 2.05, 2 Er 2.19-2.28
H  0.0592  0.4145  0.8395  2 Zr 2.05, 2 Er 2.19-2.28
H  0.1605  0.0855  0.9408  2 Zr 2.05, 2 Er 2.19-2.28
H  0.0592  0.6447  0.7197  2 Zr 2.05, 2 Er 2.19-2.28
H  0.4250  0.2803  0.3395  2 Zr 2.05, 2 Er 2.19-2.28
H  0.0750  0.1605  0.2197  2 Zr 2.05, 2 Er 2.19-2.28
H  0.5592  0.3395  0.9145  2 Zr 2.05, 2 Er 2.19-2.28
H  0.7803  0.3395  0.9250  2 Zr 2.05, 2 Er 2.19-2.28
Er  0.7500  0.3750  0.1250  8 H 2.19-2.28
H  0.5855  0.9408  0.6605  2 Zr 2.05, 2 Er 2.19-2.28
Zr  0.8750  0.2500  0.6250  4 H 2.05
H  0.0750  0.9145  0.3553  2 Zr 2.05, 2 Er 2.19-2.28
H  0.4145  0.0592  0.3395  2 Zr 2.05, 2 Er 2.19-2.28
H  0.9250  0.0855  0.6447  2 Zr 2.05, 2 Er 2.19-2.28
H  0.5750  0.7197  0.6605  2 Zr 2.05, 2 Er 2.19-2.28
H  0.8395  0.9145  0.0592  2 Zr 2.05, 2 Er 2.19-2.28
H  0.4408  0.7803  0.8553  2 Zr 2.05, 2 Er 2.19-2.28

Entry 7:
Material: CaBrO2
Method: DFT, PBE-GGA
State: optimized geometry

Its energy relative to the lowest polymorph listed for this composition is 122 meV per atom. The calculation puts the total moment at 0.0000 μB/atom. Its raw total energy is -4.733 eV/atom. For the uncorrected formation energy, the calculation gives -1.3353 eV per atom. As for the space group: No. 15.

a = 14.5699 Å, b = 6.9757 Å, c = 6.9757 Å
α = 106.52°, β = 118.92°, γ = 61.08°
With the nearest neighbours (Å) after each atom.
Element x y z (fractional)
Br  0.9091  0.3108  0.0059  2 O 1.78-1.89
O  0.6377  0.8942  0.6750  1 Br 1.97
Br  0.2025  0.5075  0.6375  1 O 1.97
Br  0.0909  0.6892  0.9941  2 O 1.78-1.89
Br  0.5909  0.5059  0.8108  2 O 1.78-1.89
O  0.7500  0.2366  0.7366  2 Ca 2.22, 2 Br 2.36
Ca  0.5423  0.8959  0.2785  5 O 2.36-2.52
O  0.5092  0.2156  0.1157  1 Br 1.89
O  0.4908  0.7844  0.8843  1 Br 1.89
Br  0.4091  0.4941  0.1892  2 O 1.78-1.89
O  0.8623  0.1750  0.3942  1 Br 1.97
Ca  0.9577  0.7785  0.3959  5 O 2.36-2.52
O  0.0153  0.1848  0.8977  1 Br 1.78
O  0.2500  0.1463  0.6463  2 Br 2.28, 2 Ca 2.43
O  0.3623  0.1058  0.3250  1 Br 1.97
O  0.9847  0.8152  0.1023  1 Br 1.78
Ca  0.1849  0.1228  0.2506  5 O 2.22-2.46
O  0.4847  0.3977  0.6848  1 Br 1.78
O  0.1377  0.8250  0.6058  1 Br 1.97
Ca  0.3151  0.7506  0.6228  5 O 2.22-2.46
O  0.9908  0.6157  0.7156  1 Br 1.89
Ca  0.0423  0.2215  0.6041  5 O 2.36-2.52
Ca  0.8151  0.8772  0.7494  5 O 2.22-2.46
O  0.0092  0.3843  0.2844  1 Br 1.89
Br  0.7975  0.4925  0.3625  1 O 1.97
Ca  0.4577  0.1041  0.7215  5 O 2.36-2.52
O  0.7500  0.8537  0.3537  2 Br 2.28, 2 Ca 2.43
O  0.5153  0.6023  0.3152  1 Br 1.78
Ca  0.6849  0.2494  0.3772  5 O 2.22-2.46
O  0.2500  0.7634  0.2634  2 Ca 2.22, 2 Br 2.36
Br  0.7025  0.8625  0.9925  1 O 1.97
Br  0.2975  0.1375  0.0075  1 O 1.97

Entry 8:
Material: CaSm2HoBi4
Method: DFT, PBE-GGA
State: optimized geometry

The calculation puts the total moment at 0.0000 μB/atom. As for the formation energy: -0.83 eV per atom. Its raw total energy is -4.768 eV/atom. As for the space group: No. 10.

a = 4.5249 Å, b = 7.8689 Å, c = 7.9158 Å
α = 70.75°, β = 90.00°, γ = 90.00°
With the nearest neighbours (Å) after each atom.
Element x y z (fractional)
Sm  0.0000  0.0000  0.0000  6 Bi 3.20-3.21
Bi  0.0000  0.7459  0.7551  2 Ho 3.19, 3 Sm 3.21-3.25, 1 Ca 3.22
Bi  0.5000  0.2504  0.7544  1 Ho 3.19, 3 Sm 3.20-3.25, 2 Ca 3.23
Ca  0.0000  0.5000  0.5000  6 Bi 3.22-3.23
Bi  0.0000  0.2541  0.2449  2 Ho 3.19, 3 Sm 3.21-3.25, 1 Ca 3.22
Sm  0.5000  0.0000  0.5000  6 Bi 3.25
Bi  0.5000  0.7496  0.2456  1 Ho 3.19, 3 Sm 3.20-3.25, 2 Ca 3.23
Ho  0.5000  0.5000  0.0000  6 Bi 3.19

Entry 9:
Material: Nd2SmIn2
Method: DFT, PBE-GGA
State: optimized geometry

Its energy relative to the lowest polymorph listed for this composition is 94 meV per atom. The calculation puts the total moment at 0.0001 μB/atom. As for the formation energy: -0.29 eV per atom. Its raw total energy is -4.237 eV/atom. As for the space group: No. 65.

a = 3.5697 Å, b = 4.6240 Å, c = 9.2984 Å
α = 104.40°, β = 90.00°, γ = 90.00°
With the nearest neighbours (Å) after each atom.
Element x y z (fractional)
Sm  0.0000  0.0000  0.0000  2 Nd 3.29, 8 In 3.41, 2 Sm 3.57
In  0.5000  0.5972  0.1945  4 Nd 3.30, 4 Sm 3.41, 3 In 3.50-3.57
In  0.5000  0.4028  0.8055  4 Nd 3.30, 4 Sm 3.41, 3 In 3.50-3.57
Nd  0.0000  0.1824  0.3648  1 Sm 3.29, 4 In 3.30, 4 Nd 3.36-3.57
Nd  0.0000  0.8176  0.6352  1 Sm 3.29, 4 In 3.30, 4 Nd 3.36-3.57

Entry 10:
Material: BaNaV
Method: DFT, PBE-GGA
State: optimized geometry

Its energy relative to the lowest polymorph listed for this composition is 51 meV per atom. The calculation puts the total moment at 0.0000 μB/atom. As for the formation energy: 0.54 eV per atom. Its raw total energy is -3.583 eV/atom. As for the space group: No. 2.

a = 4.3163 Å, b = 9.4606 Å, c = 5.7294 Å
α = 72.61°, β = 102.70°, γ = 93.93°
With the nearest neighbours (Å) after each atom.
Element x y z (fractional)
V  0.8263  0.0005  0.0680  1 V 1.84
Ba  0.5002  0.2059  0.3989  2 Na 3.54-3.55, 6 V 3.62-3.86, 1 Ba 3.72
Ba  0.4998  0.7941  0.6011  2 Na 3.54-3.55, 6 V 3.62-3.86, 1 Ba 3.72
Na  0.0066  0.3776  0.8127  2 V 3.53, 2 Ba 3.54-3.55, 2 Na 3.61-3.63
V  0.1737  0.9995  0.9320  1 V 1.84
Na  0.9934  0.6224  0.1873  2 V 3.53, 2 Ba 3.54-3.55, 2 Na 3.61-3.63

Entry 11:
Material: NpBiRu2
Method: DFT, PBE-GGA
State: optimized geometry

Its energy relative to the lowest polymorph listed for this composition is 0 meV per atom. The calculation puts the total moment at 0.5870 μB/atom. As for the formation energy: 0.09 eV per atom. Its raw total energy is -8.749 eV/atom. As for the space group: No. 166.

a = 4.9956 Å, b = 4.9956 Å, c = 4.6756 Å
α = 57.71°, β = 57.71°, γ = 60.00°
With the nearest neighbours (Å) after each atom.
Element x y z (fractional)
Ru  0.2191  0.2191  0.3427  1 Np 2.42
Ru  0.7809  0.7809  0.6573  1 Np 2.42
Np  0.0000  0.0000  0.0000  2 Ru 2.42
Bi  0.5000  0.5000  0.5000  8 Ru 2.94-3.10

Entry 12:
Material: CsCaMn2I8
Method: DFT, PBE-GGA
State: optimized geometry

The calculation puts the total moment at 0.7500 μB/atom. Its raw total energy is -3.652 eV/atom. For the uncorrected formation energy, the calculation gives -0.8519 eV per atom. As for the space group: No. 147.

a = 7.5601 Å, b = 7.5601 Å, c = 10.8531 Å
α = 90.00°, β = 90.00°, γ = 120.00°
With the nearest neighbours (Å) after each atom.
Element x y z (fractional)
I  0.6640  0.9950  0.3252  1 Mn 2.66
I  0.9950  0.3310  0.6748  1 Mn 2.66
Mn  0.6667  0.3333  0.2533  4 I 2.61-2.66
I  0.3310  0.3360  0.3252  1 Mn 2.66
I  0.6690  0.6640  0.6748  1 Mn 2.66
I  0.3333  0.6667  0.9873  1 Mn 2.61
I  0.6667  0.3333  0.0127  1 Mn 2.61
I  0.3360  0.0050  0.6748  1 Mn 2.66
Cs  0.0000  0.0000  0.0000  12 I 4.34-4.37
Ca  0.0000  0.0000  0.5000  6 I 3.16
I  0.0050  0.6690  0.3252  1 Mn 2.66
Mn  0.3333  0.6667  0.7467  4 I 2.61-2.66